1.
The following is a DFT calculation (PBE-GGA) of crystalline MnSnSb at its relaxed geometry.

## Properties
- E_form (uncorrected): 0.163 eV/atom
- DOS(E_F): 2.39 states/eV/f.u.
- VASP energy: -5.60 eV per atom
- Calculated volume: 143 Å³/cell
- SG: I4/mmm

Lattice parameters (Å, degrees): 13.930 13.930 13.930 166.72 166.72 18.82
Element x y z (fractional)
1 Mn 0.226 0.226 0.000
2 Mn 0.774 0.774 0.000
3 Sn 0.055 0.055 0.000
4 Sn 0.945 0.945 0.000
5 Sb 0.328 0.328 0.000
6 Sb 0.672 0.672 0.000

***

2.
The following is a DFT calculation (PBE-GGA) of crystalline MnSn3Sb at its relaxed geometry.

## Properties
- E_form (uncorrected): 1.585 eV/atom
- DOS(E_F): 9.24 states/eV/f.u.
- VASP energy: -3.47 eV per atom
- Calculated volume: 174 Å³/cell
- SG: Pm-3m

Lattice parameters (Å, degrees): 5.582 5.582 5.582 90.00 90.00 90.00
Element x y z (fractional)
1 Mn 0.000 0.000 0.000
2 Sn 0.000 0.500 0.500
3 Sn 0.500 0.000 0.500
4 Sn 0.500 0.500 0.000
5 Sb 0.500 0.500 0.500

***

3.
The following is a DFT calculation (PBE-GGA) of crystalline MnSnSb2 at its relaxed geometry.

## Properties
- E_form (uncorrected): 0.436 eV/atom
- DOS(E_F): 3.04 states/eV/f.u.
- VASP energy: -4.92 eV per atom
- Calculated volume: 104 Å³/cell
- SG: R-3m

Lattice parameters (Å, degrees): 11.451 11.451 11.451 16.39 16.39 16.39
Element x y z (fractional)
1 Mn 0.000 0.000 0.000
2 Sn 0.500 0.500 0.500
3 Sb 0.080 0.080 0.080
4 Sb 0.920 0.920 0.920

***

4.
The following is a DFT calculation (PBE-GGA) of crystalline MnSnSbTe2 at its relaxed geometry.

## Properties
- E_form (uncorrected): 0.241 eV/atom
- DOS(E_F): 4.21 states/eV/f.u.
- VASP energy: -4.47 eV per atom
- Calculated volume: 145 Å³/cell
- SG: P4/mmm

Lattice parameters (Å, degrees): 5.305 5.305 5.137 90.00 90.00 90.00
Element x y z (fractional)
1 Mn 0.000 0.000 0.000
2 Sn 0.500 0.500 0.500
3 Sb 0.000 0.000 0.500
4 Te 0.000 0.500 0.000
5 Te 0.500 0.000 0.000

***

5.
The following is a DFT calculation (PBE-GGA) of crystalline MnSnSbTe2 at its relaxed geometry.

## Properties
- E_form (uncorrected): 0.862 eV/atom
- DOS(E_F): 4.21 states/eV/f.u.
- VASP energy: -3.85 eV per atom
- Calculated volume: 183 Å³/cell
- SG: P4/mmm

Lattice parameters (Å, degrees): 5.687 5.687 5.673 90.00 90.00 90.00
Element x y z (fractional)
1 Mn 0.000 0.000 0.000
2 Sn 0.500 0.500 0.500
3 Sb 0.500 0.500 0.000
4 Te 0.000 0.500 0.500
5 Te 0.500 0.000 0.500

***

6.
The following is a DFT calculation (PBE-GGA) of crystalline MnSnSb2Te at its relaxed geometry.

## Properties
- E_form (uncorrected): 0.349 eV/atom
- DOS(E_F): 3.81 states/eV/f.u.
- VASP energy: -4.56 eV per atom
- Calculated volume: 135 Å³/cell
- SG: P4/mmm

Lattice parameters (Å, degrees): 4.823 4.823 5.784 90.00 90.00 90.00
Element x y z (fractional)
1 Mn 0.000 0.000 0.000
2 Sn 0.500 0.500 0.500
3 Sb 0.000 0.500 0.000
4 Sb 0.500 0.000 0.000
5 Te 0.000 0.000 0.500

***

7.
The following is a DFT calculation (PBE-GGA) of crystalline MnSn2SbTe5 at its relaxed geometry.

## Properties
- E_form (uncorrected): -0.141 eV/atom
- DOS(E_F): 0.91 states/eV/f.u.
- VASP energy: -4.25 eV per atom
- Calculated volume: 570 Å³/cell
- SG: Cmc2_1

Lattice parameters (Å, degrees): 9.821 9.821 13.790 90.00 90.00 154.63
Element x y z (fractional)
1 Mn 0.031 0.969 0.500
2 Mn 0.969 0.031 0.000
3 Sn 0.373 0.627 0.395
4 Sn 0.388 0.612 0.748
5 Sn 0.612 0.388 0.248
6 Sn 0.627 0.373 0.895
7 Sb 0.287 0.713 0.071
8 Sb 0.713 0.287 0.571
9 Te 0.027 0.973 0.826
10 Te 0.102 0.898 0.071
11 Te 0.156 0.844 0.410
12 Te 0.231 0.769 0.720
13 Te 0.434 0.566 0.110
14 Te 0.566 0.434 0.610
15 Te 0.769 0.231 0.220
16 Te 0.844 0.156 0.910
17 Te 0.898 0.102 0.571
18 Te 0.973 0.027 0.326

***

8.
The following is a DFT calculation (PBE-GGA) of crystalline MnSnSb2Te at its relaxed geometry.

## Properties
- E_form (uncorrected): 0.992 eV/atom
- DOS(E_F): 4.62 states/eV/f.u.
- VASP energy: -3.92 eV per atom
- Calculated volume: 181 Å³/cell
- SG: P4/mmm

Lattice parameters (Å, degrees): 5.648 5.648 5.677 90.00 90.00 90.00
Element x y z (fractional)
1 Mn 0.000 0.000 0.000
2 Sn 0.500 0.500 0.500
3 Sb 0.000 0.500 0.500
4 Sb 0.500 0.000 0.500
5 Te 0.500 0.500 0.000

***

The highest calculated volume belongs to which entry? MnSn2SbTe5

***

What is the VASP energy in the first record? -5.60 eV per atom